# 1
Material: CsNaLi2Y
Method: DFT, PBE
State: relaxed

Calculated values
**D(E_F)**: 4.6 states/eV per cell
**VASP energy**: -1.480 eV per atom
**E_form**: 1013 meV per atom

Cell: 5.5423 6.2497 5.5423 Å, 90.00 90.00 90.00°
With the nearest neighbours (Å) after each atom.
Fractional coordinates of all 5 atoms:
1 Cs 0.0000 0.0000 0.0000  4 Li 2.77
2 Li 0.0000 0.0000 0.5000  2 Cs 2.77
3 Y 0.0000 0.5000 0.0000  2 Cs 3.12
4 Na 0.5000 0.5000 0.5000  4 Y 3.92, 8 Li 4.18
5 Li 0.5000 0.0000 0.0000  2 Cs 2.77


# 2
Material: CsNa2LiZn
Method: DFT, PBE
State: relaxed

Calculated values
**D(E_F)**: 3.4 states/eV per cell
**VASP energy**: -1.207 eV per atom
**E_form**: 129 meV per atom

Cell: 6.0493 6.0493 5.4763 Å, 90.00 90.00 90.00°
With the nearest neighbours (Å) after each atom.
Fractional coordinates of all 5 atoms:
1 Zn 0.0000 0.0000 0.0000  2 Li 2.74, 4 Na 3.02
2 Na 0.0000 0.5000 0.0000  2 Zn 3.02
3 Li 0.0000 0.0000 0.5000  2 Zn 2.74
4 Na 0.5000 0.0000 0.0000  2 Zn 3.02
5 Cs 0.5000 0.5000 0.5000  8 Na 4.08, 4 Li 4.28


# 3
Material: CsNa2LiZn
Method: DFT, PBE
State: relaxed

Calculated values
**D(E_F)**: 2.9 states/eV per cell
**VASP energy**: -0.683 eV per atom
**E_form**: 653 meV per atom

Cell: 7.0261 6.5177 7.0261 Å, 90.00 90.00 90.00°
With the nearest neighbours (Å) after each atom.
Fractional coordinates of all 5 atoms:
1 Cs 0.0000 0.0000 0.0000  2 Zn 3.26, 4 Na 3.51
2 Zn 0.0000 0.5000 0.0000  2 Cs 3.26
3 Li 0.5000 0.5000 0.5000  8 Na 4.79, 4 Zn 4.97
4 Na 0.0000 0.0000 0.5000  2 Cs 3.51
5 Na 0.5000 0.0000 0.0000  2 Cs 3.51


# 4
Material: Cs3LiNb
Method: DFT, PBE
State: relaxed

Calculated values
**D(E_F)**: 1.3 states/eV per cell
**VASP energy**: -1.824 eV per atom
**E_form**: 1084 meV per atom

Cell: 7.3589 7.3589 7.3589 Å, 90.00 90.00 90.00°
With the nearest neighbours (Å) after each atom.
Fractional coordinates of all 5 atoms:
1 Nb 0.0000 0.0000 0.0000  6 Cs 3.68
2 Li 0.5000 0.5000 0.5000  12 Cs 5.20
3 Cs 0.0000 0.0000 0.5000  2 Nb 3.68
4 Cs 0.5000 0.0000 0.0000  2 Nb 3.68
5 Cs 0.0000 0.5000 0.0000  2 Nb 3.68


# 5
Material: CsLiNb2
Method: DFT, PBE
State: relaxed

Calculated values
**D(E_F)**: 8.2 states/eV per cell
**VASP energy**: -3.940 eV per atom
**E_form**: 1787 meV per atom

Cell: 4.8627 4.8627 4.8627 Å, 60.00 60.00 60.00°
With the nearest neighbours (Å) after each atom.
Fractional coordinates of all 4 atoms:
1 Cs 0.5000 0.5000 0.5000  8 Nb 2.98
2 Nb 0.7500 0.7500 0.7500  4 Li 2.98, 4 Cs 2.98
3 Nb 0.2500 0.2500 0.2500  4 Li 2.98, 4 Cs 2.98
4 Li 0.0000 0.0000 0.0000  8 Nb 2.98


# 6
Material: CsLi3Nb
Method: DFT, PBE
State: relaxed

Calculated values
**D(E_F)**: 1.1 states/eV per cell
**VASP energy**: -1.845 eV per atom
**E_form**: 1488 meV per atom

Cell: 5.1082 5.1082 5.1082 Å, 90.00 90.00 90.00°
With the nearest neighbours (Å) after each atom.
Fractional coordinates of all 5 atoms:
1 Cs 0.0000 0.0000 0.0000  6 Li 2.55
2 Nb 0.5000 0.5000 0.5000  12 Li 3.61
3 Li 0.0000 0.5000 0.0000  2 Cs 2.55
4 Li 0.5000 0.0000 0.0000  2 Cs 2.55
5 Li 0.0000 0.0000 0.5000  2 Cs 2.55


# 7
Material: CsLi3Nb
Method: DFT, PBE
State: relaxed

Calculated values
**D(E_F)**: 3.9 states/eV per cell
**VASP energy**: -2.376 eV per atom
**E_form**: 957 meV per atom

Cell: 5.7283 5.7283 5.7283 Å, 90.00 90.00 90.00°
With the nearest neighbours (Å) after each atom.
Fractional coordinates of all 5 atoms:
1 Nb 0.0000 0.0000 0.0000  6 Li 2.86
2 Cs 0.5000 0.5000 0.5000  12 Li 4.05
3 Li 0.5000 0.0000 0.0000  2 Nb 2.86
4 Li 0.0000 0.0000 0.5000  2 Nb 2.86
5 Li 0.0000 0.5000 0.0000  2 Nb 2.86


# 8
Material: CsLiNb2
Method: DFT, PBE
State: relaxed

Calculated values
**D(E_F)**: 7.7 states/eV per cell
**VASP energy**: -4.455 eV per atom
**E_form**: 1272 meV per atom

Cell: 3.9626 3.9626 12.4199 Å, 80.82 80.82 90.00°
With the nearest neighbours (Å) after each atom.
Fractional coordinates of all 8 atoms:
1 Li 0.2500 0.7500 0.5000  4 Cs 2.80
2 Nb 0.3750 0.8557 0.7500  4 Nb 2.70-2.91
3 Cs 0.0000 0.0000 0.0000  4 Li 2.80
4 Cs 0.7500 0.2500 0.5000  4 Li 2.80
5 Nb 0.8750 0.3943 0.7500  4 Nb 2.70-2.91
6 Li 0.5000 0.5000 0.0000  4 Cs 2.80
7 Nb 0.1443 0.1250 0.2500  4 Nb 2.70-2.91
8 Nb 0.6057 0.6250 0.2500  4 Nb 2.70-2.91